# AlTlFe2 (GGA-PBEsol, optimized geometry)
data_AlTlFe2
_symmetry_space_group_name_H-M 'C 1 m 1'
_symmetry_Int_Tables_number 8
_cell_length_a 9.632
_cell_length_b 3.169
_cell_length_c 4.251
_cell_angle_alpha 90.00
_cell_angle_beta 115.30
_cell_angle_gamma 90.00
loop_
_symmetry_equiv_pos_as_xyz
'x,y,z'
'x,-y,z'
'x+1/2,y+1/2,z'
'x+1/2,-y+1/2,z'
loop_
_atom_site_label
_atom_site_type_symbol
_atom_site_fract_x
_atom_site_fract_y
_atom_site_fract_z
Al1 Al 0.000 0.000 0.000
Tl1 Tl 0.277 0.500 0.282
Fe1 Fe 0.039 0.500 0.541
Fe2 Fe 0.246 0.000 0.751
# E_form (eV/atom): 0.28
# VASP energy (eV per atom): -5.880

# AlTlFe (GGA-PBEsol, optimized geometry)
data_AlTlFe
_symmetry_space_group_name_H-M 'P -6 m 2'
_symmetry_Int_Tables_number 187
_symmetry_space_group_name_Hall 'P -6 2'
_cell_length_a 4.1336
_cell_length_b 4.1336
_cell_length_c 3.2699
_cell_angle_alpha 90.00
_cell_angle_beta 90.00
_cell_angle_gamma 120.00
loop_
_atom_site_label
_atom_site_type_symbol
_atom_site_fract_x
_atom_site_fract_y
_atom_site_fract_z
Al1 Al 0.0000 0.0000 0.0000
Tl1 Tl 0.6667 0.3333 0.5000
Fe1 Fe 0.3333 0.6667 0.0000
# E_form (eV/atom): 0.45
# VASP energy (eV per atom): -4.777

# Al4TlFe (GGA-PBEsol, optimized geometry)
data_Al4TlFe
_symmetry_space_group_name_H-M 'F -4 3 m'
_symmetry_Int_Tables_number 216
_symmetry_space_group_name_Hall 'F -4 2 3'
_cell_length_a 7.470
_cell_length_b 7.470
_cell_length_c 7.470
_cell_angle_alpha 90.00
_cell_angle_beta 90.00
_cell_angle_gamma 90.00
loop_
_atom_site_label
_atom_site_type_symbol
_atom_site_fract_x
_atom_site_fract_y
_atom_site_fract_z
Al1 Al 0.124 0.124 0.124
Tl1 Tl 0.000 0.000 0.500
Fe1 Fe 0.250 0.250 0.750
# E_form (eV/atom): 0.37
# VASP energy (eV per atom): -4.285